No. 1
Density functional theory data (PBE-GGA) for a relaxed structure of MnNi14Pt.

Cell lengths 5.055, 5.055, 8.242 Å; angles 90.00, 90.00, 119.82 degrees
Each line ends with the local moment (μB).
Fractional positions:
Ni 0.208 0.792 0.000  0.72
Ni 0.875 0.125 0.247  0.74
Mn 0.043 0.957 0.500  3.34
Ni 0.374 0.122 0.757  0.71
Pt 0.542 0.458 0.500  0.32
Ni 0.373 0.627 0.755  0.77
Ni 0.708 0.292 0.000  0.66
Ni 0.042 0.458 0.500  0.66
Ni 0.542 0.958 0.500  0.66
Ni 0.207 0.292 0.000  0.75
Ni 0.878 0.626 0.243  0.71
Ni 0.875 0.125 0.753  0.74
Ni 0.708 0.793 0.000  0.75
Ni 0.374 0.122 0.243  0.71
Ni 0.373 0.627 0.245  0.77
Ni 0.878 0.626 0.757  0.71

Properties
- mass density (Mg/m³) = 9.74
- calculated formation energy (eV/atom) = -0.0216

---

No. 2
Density functional theory data (PBE-GGA) for a relaxed structure of K2ZrFe.

Cell lengths 3.050, 3.050, 12.383 Å; angles 90.00, 90.00, 90.00 degrees
Each line ends with the local moment (μB).
Fractional positions:
K 0.000 0.000 0.971  -0.03
Zr 0.500 0.500 0.250  0.09
K 0.000 0.000 0.529  -0.03
Fe 0.500 0.500 0.750  2.88

Properties
- mass density (Mg/m³) = 3.25
- offset from the most stable computed form (meV per atom) = 638
- calculated formation energy (eV/atom) = 1.1905